Compound: ZrNiP2O
Source: Alexandria via LeMat-Bulk
Functional: GGA-PBEsol
Structure: relaxed

Properties
The volume comes out at 14.14 Å³ per atom. The calculation puts the uncorrected formation energy at -8.966 kcal/mol of atoms. The raw total energy is -34.02 eV per cell.

Unit cell a=4.431 b=4.431 c=3.602 alpha=90.00 beta=90.00 gamma=90.00
Positions (direct):
Zr 0.000 0.000 0.000
Ni 0.500 0.500 0.500
P 0.000 0.500 0.500
P 0.500 0.000 0.500
O 0.500 0.500 0.000